A plane-wave DFT calculation with PBE was carried out for a geometry-optimized ReP2ClF structure.

Output
Uncorrected formation energy (eV/atom): 0.1540
Total DFT energy (no corrections) (eV/atom): -5.243
Mass density (g/cm3): 5.0
Polymorph energy (0 for the lowest one) (kJ per mole of atoms): 0.0

The structure in POSCAR format:
```
ReP2ClF
1.0
4.5611 0.0000 0.0000
0.0000 4.5611 0.0000
0.0000 0.0000 4.8147
F P Re Cl
1 2 1 1
Direct
0.5000 0.5000 0.5000 F
0.5000 0.0000 0.0000 P
0.0000 0.5000 0.0000 P
0.0000 0.0000 0.0000 Re
0.0000 0.0000 0.5000 Cl
```

A plane-wave DFT calculation with PBE was carried out for a geometry-optimized ReP2ClF structure.

Output
Uncorrected formation energy (eV/atom): 1.1285
Total DFT energy (no corrections) (eV/atom): -4.269
Mass density (g/cm3): 6.4
Polymorph energy (0 for the lowest one) (kJ per mole of atoms): 94.0

The structure in POSCAR format:
```
ReP2ClF
1.0
4.0379 0.0000 0.0000
0.0000 4.0379 0.0000
0.0000 0.0000 4.7951
P Re F Cl
2 1 1 1
Direct
0.5000 0.0000 0.0000 P
0.0000 0.5000 0.0000 P
0.5000 0.5000 0.5000 Re
0.0000 0.0000 0.0000 F
0.0000 0.0000 0.5000 Cl
```

A plane-wave DFT calculation with PBE was carried out for a geometry-optimized P2RhClF6 structure.

Output
Uncorrected formation energy (eV/atom): -2.0683
Total DFT energy (no corrections) (eV/atom): -5.193
Mass density (g/cm3): 2.7

The structure in POSCAR format:
```
P2RhClF6
1.0
-0.7771 -6.9652 -7.4576
10.4097 1.2998 -2.2987
9.0386 -9.3610 7.8011
Rh F Cl P
8 48 8 16
Direct
0.0800 0.9318 0.4282 Rh
0.5800 0.0682 0.0718 Rh
0.9200 0.0682 0.5718 Rh
0.4200 0.9318 0.9282 Rh
0.9087 0.3517 0.5664 Rh
0.5913 0.3517 0.0664 Rh
0.0913 0.6483 0.4336 Rh
0.4087 0.6483 0.9336 Rh
0.7004 0.0119 0.4409 F
0.1769 0.4448 0.9198 F
0.9125 0.2525 0.7929 F
0.8231 0.5552 0.0802 F
0.6317 0.4892 0.2231 F
0.0875 0.7475 0.2071 F
0.5875 0.2525 0.2929 F
0.1106 0.8721 0.7351 F
0.8894 0.1279 0.2649 F
0.9118 0.9177 0.7990 F
0.4118 0.0823 0.7010 F
0.6122 0.0278 0.5811 F
0.1317 0.5108 0.2769 F
0.0854 0.2458 0.2705 F
0.5882 0.9177 0.2990 F
0.6106 0.1279 0.7649 F
0.9146 0.7542 0.7295 F
0.8878 0.0278 0.0811 F
0.1919 0.4549 0.0743 F
0.0882 0.0823 0.2010 F
0.0856 0.4069 0.7226 F
0.7848 0.8235 0.0921 F
0.1122 0.9722 0.9189 F
0.0987 0.6381 0.9437 F
0.4146 0.2458 0.7705 F
0.4013 0.6381 0.4437 F
0.5987 0.3619 0.5563 F
0.9013 0.3619 0.0563 F
0.7996 0.0119 0.9409 F
0.3081 0.4549 0.5743 F
0.3894 0.8721 0.2351 F
0.7152 0.8235 0.5921 F
0.2152 0.1765 0.9079 F
0.3231 0.4448 0.4198 F
0.6919 0.5451 0.4257 F
0.2996 0.9881 0.5591 F
0.4144 0.4069 0.2226 F
0.5856 0.5931 0.7774 F
0.3878 0.9722 0.4189 F
0.8683 0.4892 0.7231 F
0.6769 0.5552 0.5802 F
0.4125 0.7475 0.7071 F
0.5854 0.7542 0.2295 F
0.9144 0.5931 0.2774 F
0.8081 0.5451 0.9257 F
0.2004 0.9881 0.0591 F
0.3683 0.5108 0.7769 F
0.2848 0.1765 0.4079 F
0.1273 0.7228 0.5624 Cl
0.5934 0.7992 0.8995 Cl
0.8727 0.2772 0.4376 Cl
0.3727 0.7228 0.0624 Cl
0.6273 0.2772 0.9376 Cl
0.0934 0.2008 0.6005 Cl
0.9066 0.7992 0.3995 Cl
0.4066 0.2008 0.1005 Cl
0.7419 0.9803 0.5473 P
0.9627 0.9029 0.7056 P
0.4419 0.6208 0.8023 P
0.5373 0.9029 0.2056 P
0.5581 0.3792 0.1977 P
0.7761 0.4554 0.0337 P
0.7581 0.9803 0.0473 P
0.7239 0.4554 0.5337 P
0.9419 0.3792 0.6977 P
0.0581 0.6208 0.3023 P
0.4627 0.0971 0.7944 P
0.2239 0.5446 0.9663 P
0.2581 0.0197 0.4527 P
0.2761 0.5446 0.4663 P
0.0373 0.0971 0.2944 P
0.2419 0.0197 0.9527 P
```

A plane-wave DFT calculation with PBE was carried out for a geometry-optimized PSCl2F structure.

Output
Uncorrected formation energy (eV/atom): 0.7746
Total DFT energy (no corrections) (eV/atom): -2.246
Mass density (g/cm3): 2.4
Polymorph energy (0 for the lowest one) (kJ per mole of atoms): 56.6

The structure in POSCAR format:
```
PSCl2F
1.0
-1.8313 5.0702 -0.2349
-3.5773 -1.1121 3.8836
2.4002 0.9824 2.4923
Cl S F P
2 1 1 1
Direct
0.0000 0.5000 0.0000 Cl
0.5000 0.0000 0.0000 Cl
0.0000 0.0000 0.5000 S
0.0000 0.0000 0.0000 F
0.5000 0.5000 0.5000 P
```

A plane-wave DFT calculation with PBE was carried out for a geometry-optimized PSCl2F structure.

Output
Uncorrected formation energy (eV/atom): 0.1883
Total DFT energy (no corrections) (eV/atom): -2.832
Mass density (g/cm3): 2.6
Polymorph energy (0 for the lowest one) (kJ per mole of atoms): 0.0

The structure in POSCAR format:
```
PSCl2F
1.0
-2.8804 2.2232 2.8784
0.1332 -3.6048 2.9175
3.5551 1.8526 2.1267
Cl S F P
2 1 1 1
Direct
0.0000 0.5000 0.0000 Cl
0.5000 0.0000 0.0000 Cl
0.0000 0.0000 0.5000 S
0.5000 0.5000 0.5000 F
0.0000 0.0000 0.0000 P
```

A plane-wave DFT calculation with PBE was carried out for a geometry-optimized P2SClF structure.

Output
Uncorrected formation energy (eV/atom): 0.9217
Total DFT energy (no corrections) (eV/atom): -2.811
Mass density (g/cm3): 2.6
Polymorph energy (0 for the lowest one) (kJ per mole of atoms): 18.6

The structure in POSCAR format:
```
P2SClF
1.0
4.1171 0.0000 0.0000
0.0000 4.1171 0.0000
0.0000 0.0000 5.5305
Cl F P S
1 1 2 1
Direct
0.0000 0.0000 0.5000 Cl
0.0000 0.0000 0.0000 F
0.0000 0.5000 0.0000 P
0.5000 0.0000 0.0000 P
0.5000 0.5000 0.5000 S
```

A plane-wave DFT calculation with PBE was carried out for a geometry-optimized P2SClF structure.

Output
Uncorrected formation energy (eV/atom): 1.2809
Total DFT energy (no corrections) (eV/atom): -2.452
Mass density (g/cm3): 2.5
Polymorph energy (0 for the lowest one) (kJ per mole of atoms): 53.3

The structure in POSCAR format:
```
P2SClF
1.0
-3.2523 -2.8687 -1.8025
0.5610 -2.9200 3.6351
-3.1949 2.2013 2.2613
P S Cl F
2 1 1 1
Direct
0.0000 0.5000 0.0000 P
0.5000 0.0000 0.0000 P
0.0000 0.0000 0.5000 S
0.0000 0.0000 0.0000 Cl
0.5000 0.5000 0.5000 F
```

A plane-wave DFT calculation with PBE was carried out for a geometry-optimized P2SClF structure.

Output
Uncorrected formation energy (eV/atom): 0.9717
Total DFT energy (no corrections) (eV/atom): -2.761
Mass density (g/cm3): 2.4
Polymorph energy (0 for the lowest one) (kJ per mole of atoms): 23.4

The structure in POSCAR format:
```
P2SClF
1.0
-3.1019 -1.9356 1.8123
1.7387 -3.5906 -0.8590
3.0461 0.1814 5.4076
P F Cl S
2 1 1 1
Direct
0.5000 0.0000 0.0000 P
0.0000 0.5000 0.0000 P
0.0000 0.0000 0.0000 F
0.5000 0.5000 0.5000 Cl
0.0000 0.0000 0.5000 S
```

A plane-wave DFT calculation with PBE was carried out for a geometry-optimized P2SClF structure.

Output
Uncorrected formation energy (eV/atom): 0.7289
Total DFT energy (no corrections) (eV/atom): -3.004
Mass density (g/cm3): 2.4
Polymorph energy (0 for the lowest one) (kJ per mole of atoms): 0.0

The structure in POSCAR format:
```
P2SClF
1.0
-3.0755 3.0859 -1.4951
0.6024 -1.4909 -4.3164
-3.5026 -3.1932 0.6142
S P F Cl
1 2 1 1
Direct
0.0000 0.0000 0.0000 S
0.5000 0.0000 0.0000 P
0.0000 0.5000 0.0000 P
0.5000 0.5000 0.5000 F
0.0000 0.0000 0.5000 Cl
```

A plane-wave DFT calculation with PBE was carried out for a geometry-optimized PSCl2F structure.

Output
Uncorrected formation energy (eV/atom): 0.4537
Total DFT energy (no corrections) (eV/atom): -2.567
Mass density (g/cm3): 2.4
Polymorph energy (0 for the lowest one) (kJ per mole of atoms): 25.6

The structure in POSCAR format:
```
PSCl2F
1.0
-1.6995 2.9531 3.0943
-3.9285 -2.3947 0.1278
1.8280 -2.8026 3.6787
Cl F S P
2 1 1 1
Direct
0.0000 0.5000 0.0000 Cl
0.5000 0.0000 0.0000 Cl
0.5000 0.5000 0.5000 F
0.0000 0.0000 0.0000 S
0.0000 0.0000 0.5000 P
```

A plane-wave DFT calculation with PBE was carried out for a geometry-optimized PSCl2F structure.

Output
Uncorrected formation energy (eV/atom): 0.5667
Total DFT energy (no corrections) (eV/atom): -2.454
Mass density (g/cm3): 2.3
Polymorph energy (0 for the lowest one) (kJ per mole of atoms): 36.5

The structure in POSCAR format:
```
PSCl2F
1.0
5.5494 0.0000 0.0000
0.0000 5.5494 0.0000
0.0000 0.0000 3.6172
P S Cl F
1 1 2 1
Direct
0.0000 0.0000 0.5000 P
0.5000 0.5000 0.5000 S
0.5000 0.0000 0.0000 Cl
0.0000 0.5000 0.0000 Cl
0.0000 0.0000 0.0000 F
```

A plane-wave DFT calculation with PBE was carried out for a geometry-optimized SbPCl2F structure.

Output
Uncorrected formation energy (eV/atom): 0.0679
Total DFT energy (no corrections) (eV/atom): -2.951
Mass density (g/cm3): 2.8
Polymorph energy (0 for the lowest one) (kJ per mole of atoms): 1.1

The structure in POSCAR format:
```
SbPCl2F
1.0
-0.9742 -4.8742 1.2653
4.5658 -0.3114 2.3160
-2.2758 1.6781 4.7121
Cl F P Sb
2 1 1 1
Direct
0.0000 0.5000 0.0000 Cl
0.5000 0.0000 0.0000 Cl
0.5000 0.5000 0.5000 F
0.0000 0.0000 0.5000 P
0.0000 0.0000 0.0000 Sb
```

A plane-wave DFT calculation with PBE was carried out for a geometry-optimized SbPCl2F structure.

Output
Uncorrected formation energy (eV/atom): 0.0566
Total DFT energy (no corrections) (eV/atom): -2.963
Mass density (g/cm3): 3.7
Polymorph energy (0 for the lowest one) (kJ per mole of atoms): 0.0

The structure in POSCAR format:
```
SbPCl2F
1.0
5.4833 0.0000 0.0000
0.0000 5.4833 0.0000
0.0000 0.0000 3.6096
F Sb P Cl
1 1 1 2
Direct
0.0000 0.0000 0.0000 F
0.5000 0.5000 0.5000 Sb
0.0000 0.0000 0.5000 P
0.5000 0.0000 0.0000 Cl
0.0000 0.5000 0.0000 Cl
```

A plane-wave DFT calculation with PBE was carried out for a geometry-optimized ScPCl2F structure.

Output
Uncorrected formation energy (eV/atom): -0.8010
Total DFT energy (no corrections) (eV/atom): -4.262
Mass density (g/cm3): 2.2
Polymorph energy (0 for the lowest one) (kJ per mole of atoms): 0.0

The structure in POSCAR format:
```
ScPCl2F
1.0
4.8106 0.0000 0.0000
0.0000 4.8106 0.0000
0.0000 0.0000 5.4807
Cl F P Sc
2 1 1 1
Direct
0.5000 0.0000 0.0000 Cl
0.0000 0.5000 0.0000 Cl
0.5000 0.5000 0.5000 F
0.0000 0.0000 0.5000 P
0.0000 0.0000 0.0000 Sc
```

A plane-wave DFT calculation with PBE was carried out for a geometry-optimized ScPCl2F structure.

Output
Uncorrected formation energy (eV/atom): -0.4552
Total DFT energy (no corrections) (eV/atom): -3.916
Mass density (g/cm3): 2.8
Polymorph energy (0 for the lowest one) (kJ per mole of atoms): 33.4

The structure in POSCAR format:
```
ScPCl2F
1.0
-4.0847 1.6464 2.6270
2.0267 -1.8703 4.3234
1.6878 3.2241 0.6036
Cl F P Sc
2 1 1 1
Direct
0.5000 0.0000 0.0000 Cl
0.0000 0.5000 0.0000 Cl
0.0000 0.0000 0.0000 F
0.0000 0.0000 0.5000 P
0.5000 0.5000 0.5000 Sc
```

A plane-wave DFT calculation with PBE was carried out for a geometry-optimized SiPCl2F structure.

Output
Uncorrected formation energy (eV/atom): 0.0103
Total DFT energy (no corrections) (eV/atom): -3.269
Mass density (g/cm3): 2.5
Polymorph energy (0 for the lowest one) (kJ per mole of atoms): 0.0

The structure in POSCAR format:
```
SiPCl2F
1.0
-4.4749 0.0929 0.7945
0.4289 -3.5324 2.8289
0.7157 3.0311 3.6765
Cl Si F P
2 1 1 1
Direct
0.5000 0.0000 0.0000 Cl
0.0000 0.5000 0.0000 Cl
0.0000 0.0000 0.0000 Si
0.5000 0.5000 0.5000 F
0.0000 0.0000 0.5000 P
```

A plane-wave DFT calculation with PBE was carried out for a geometry-optimized SiPCl2F structure.

Output
Uncorrected formation energy (eV/atom): 0.2927
Total DFT energy (no corrections) (eV/atom): -2.987
Mass density (g/cm3): 2.4
Polymorph energy (0 for the lowest one) (kJ per mole of atoms): 27.2

The structure in POSCAR format:
```
SiPCl2F
1.0
5.3277 0.0000 0.0000
0.0000 5.3277 0.0000
0.0000 0.0000 3.6122
F Cl P Si
1 2 1 1
Direct
0.0000 0.0000 0.0000 F
0.0000 0.5000 0.0000 Cl
0.5000 0.0000 0.0000 Cl
0.0000 0.0000 0.5000 P
0.5000 0.5000 0.5000 Si
```

A plane-wave DFT calculation with PBE was carried out for a geometry-optimized SnP2ClF structure.

Output
Uncorrected formation energy (eV/atom): 0.5720
Total DFT energy (no corrections) (eV/atom): -3.136
Mass density (g/cm3): 2.9
Polymorph energy (0 for the lowest one) (kJ per mole of atoms): 38.2

The structure in POSCAR format:
```
SnP2ClF
1.0
-1.0922 -5.0151 0.6685
-0.4539 -0.5840 -5.1229
4.9541 -1.1204 -0.3112
Cl P F Sn
1 2 1 1
Direct
0.0000 0.0000 0.5000 Cl
0.5000 0.0000 0.0000 P
0.0000 0.5000 0.0000 P
0.5000 0.5000 0.5000 F
0.0000 0.0000 0.0000 Sn
```

A plane-wave DFT calculation with PBE was carried out for a geometry-optimized SnP2ClF structure.

Output
Uncorrected formation energy (eV/atom): 0.1762
Total DFT energy (no corrections) (eV/atom): -3.532
Mass density (g/cm3): 3.8
Polymorph energy (0 for the lowest one) (kJ per mole of atoms): 0.0

The structure in POSCAR format:
```
SnP2ClF
1.0
4.1908 0.0000 0.0000
0.0000 4.1908 0.0000
0.0000 0.0000 5.8174
F P Sn Cl
1 2 1 1
Direct
0.0000 0.0000 0.0000 F
0.5000 0.0000 0.0000 P
0.0000 0.5000 0.0000 P
0.5000 0.5000 0.5000 Sn
0.0000 0.0000 0.5000 Cl
```

A plane-wave DFT calculation with PBE was carried out for a geometry-optimized Sn2PClF structure.

Output
Uncorrected formation energy (eV/atom): -0.1168
Total DFT energy (no corrections) (eV/atom): -3.544
Mass density (g/cm3): 3.9

The structure in POSCAR format:
```
Sn2PClF
1.0
5.3146 0.0000 0.0000
0.0000 4.8181 0.0000
0.0000 0.0000 5.3146
P Sn F Cl
1 2 1 1
Direct
0.0000 0.0000 0.0000 P
0.5000 0.0000 0.0000 Sn
0.0000 0.0000 0.5000 Sn
0.5000 0.5000 0.5000 F
0.0000 0.5000 0.0000 Cl
```